[1]
## CoAgRh2 (PBE)

Data for a relaxed CoAgRh2 crystal.

Cell lengths 2.8035, 4.5876, 9.1176 Å; angles 90.00, 90.00, 90.00 degrees
Element x y z (fractional)
Co 0.0000 0.0000 0.0000
Co 0.5000 0.5000 0.5000
Ag 0.0000 0.5000 0.7528
Ag 0.5000 0.0000 0.2528
Rh 0.0000 0.0000 0.5261
Rh 0.0000 0.5000 0.2753
Rh 0.5000 0.0000 0.7753
Rh 0.5000 0.5000 0.0261

Output
* DFT total energy: -5.82 eV/atom
* spin magnetization: 3.12 μB per formula unit
* ΔE to the lowest computed polymorph: 207 meV per atom
* energy of formation: 1.40 eV per formula unit

=====

[2]
## Co2AgRh2 (PBE)

Data for a relaxed Co2AgRh2 crystal.

Cell lengths 7.3244, 7.3244, 2.6725 Å; angles 90.00, 90.00, 90.00 degrees
Element x y z (fractional)
Co 0.1650 0.3350 0.0000
Co 0.3350 0.8350 0.0000
Co 0.6650 0.1650 0.0000
Co 0.8350 0.6650 0.0000
Ag 0.0000 0.0000 0.5000
Ag 0.5000 0.5000 0.5000
Rh 0.1297 0.6297 0.5000
Rh 0.3703 0.1297 0.5000
Rh 0.6297 0.8703 0.5000
Rh 0.8703 0.3703 0.5000

Output
* DFT total energy: -6.11 eV/atom
* spin magnetization: 5.01 μB per formula unit
* ΔE to the lowest computed polymorph: 38 meV per atom
* energy of formation: 1.20 eV per formula unit

=====

[3]
## CoAg2Rh (PBE)

Data for a relaxed CoAg2Rh crystal.

Cell lengths 9.1145, 2.7893, 4.9310 Å; angles 90.00, 101.39, 90.00 degrees
Element x y z (fractional)
Co 0.0000 0.0000 0.0000
Co 0.5000 0.5000 0.0000
Ag 0.2503 0.0000 0.7133
Ag 0.4915 0.0000 0.4729
Ag 0.7503 0.5000 0.7133
Ag 0.9915 0.5000 0.4729
Rh 0.2336 0.5000 0.1871
Rh 0.7336 0.0000 0.1871

Output
* DFT total energy: -4.72 eV/atom
* spin magnetization: 2.58 μB per formula unit
* ΔE to the lowest computed polymorph: 139 meV per atom
* energy of formation: 1.28 eV per formula unit

=====

[4]
## CoAg2Rh (PBE)

Data for a relaxed CoAg2Rh crystal.

Cell lengths 2.8553, 4.6460, 9.3497 Å; angles 90.00, 90.00, 90.00 degrees
Element x y z (fractional)
Co 0.0000 0.0000 0.0000
Co 0.5000 0.5000 0.0000
Ag 0.0000 0.0000 0.4804
Ag 0.0000 0.5000 0.7523
Ag 0.5000 0.0000 0.7523
Ag 0.5000 0.5000 0.4804
Rh 0.0000 0.5000 0.2169
Rh 0.5000 0.0000 0.2169

Output
* DFT total energy: -4.76 eV/atom
* spin magnetization: 2.50 μB per formula unit
* ΔE to the lowest computed polymorph: 98 meV per atom
* energy of formation: 1.11 eV per formula unit

=====

[5]
## CoAg2Rh (PBE)

Data for a relaxed CoAg2Rh crystal.

Cell lengths 2.8846, 4.5347, 4.7348 Å; angles 90.00, 90.00, 90.00 degrees
Element x y z (fractional)
Co 0.0000 0.0000 0.0000
Ag 0.0000 0.5000 0.5000
Ag 0.5000 0.0000 0.5000
Rh 0.5000 0.5000 0.0000

Output
* DFT total energy: -4.66 eV/atom
* spin magnetization: 2.51 μB per formula unit
* ΔE to the lowest computed polymorph: 197 meV per atom
* energy of formation: 1.51 eV per formula unit

=====

[6]
## CoAg2Rh (PBE)

Data for a relaxed CoAg2Rh crystal.

Cell lengths 3.8042, 3.8042, 4.2560 Å; angles 90.00, 90.00, 90.00 degrees
Element x y z (fractional)
Co 0.0000 0.0000 0.0000
Ag 0.0000 0.5000 0.5000
Ag 0.5000 0.0000 0.5000
Rh 0.5000 0.5000 0.0000

Output
* DFT total energy: -4.67 eV/atom
* spin magnetization: 2.93 μB per formula unit
* ΔE to the lowest computed polymorph: 194 meV per atom
* energy of formation: 1.49 eV per formula unit

=====

[7]
## CoAgRh (PBE)

Data for a relaxed CoAgRh crystal.

Cell lengths 2.8028, 4.5842, 13.7699 Å; angles 90.00, 90.00, 90.00 degrees
Element x y z (fractional)
Co 0.0000 0.0000 0.0000
Co 0.0000 0.5000 0.5000
Co 0.5000 0.0000 0.5000
Co 0.5000 0.5000 0.0000
Ag 0.0000 0.0000 0.6695
Ag 0.0000 0.5000 0.1695
Ag 0.5000 0.0000 0.1695
Ag 0.5000 0.5000 0.6695
Rh 0.0000 0.0000 0.3508
Rh 0.0000 0.5000 0.8508
Rh 0.5000 0.0000 0.8508
Rh 0.5000 0.5000 0.3508

Output
* DFT total energy: -5.45 eV/atom
* spin magnetization: 2.52 μB per formula unit
* ΔE to the lowest computed polymorph: 108 meV per atom
* energy of formation: 0.96 eV per formula unit

=====

[8]
## CoAgRh2 (PBE)

Data for a relaxed CoAgRh2 crystal.

Cell lengths 2.7331, 2.7331, 26.7443 Å; angles 90.00, 90.00, 120.00 degrees
Element x y z (fractional)
Co 0.0000 0.0000 0.0000
Co 0.3333 0.6667 0.6667
Co 0.6667 0.3333 0.3333
Ag 0.0000 0.0000 0.2478
Ag 0.3333 0.6667 0.9144
Ag 0.6667 0.3333 0.5811
Rh 0.0000 0.0000 0.4904
Rh 0.0000 0.0000 0.7410
Rh 0.3333 0.6667 0.1571
Rh 0.3333 0.6667 0.4076
Rh 0.6667 0.3333 0.0743
Rh 0.6667 0.3333 0.8237

Output
* DFT total energy: -5.95 eV/atom
* spin magnetization: 1.46 μB per formula unit
* ΔE to the lowest computed polymorph: 71 meV per atom
* energy of formation: 0.85 eV per formula unit

=====

[9]
## CoAgRh2 (PBE)

Data for a relaxed CoAgRh2 crystal.

Cell lengths 2.7997, 4.5885, 9.1499 Å; angles 90.00, 90.00, 90.00 degrees
Element x y z (fractional)
Co 0.0000 0.0000 0.0000
Co 0.5000 0.5000 0.0000
Ag 0.0000 0.0000 0.5000
Ag 0.5000 0.5000 0.5000
Rh 0.0000 0.5000 0.2289
Rh 0.0000 0.5000 0.7711
Rh 0.5000 0.0000 0.2289
Rh 0.5000 0.0000 0.7711

Output
* DFT total energy: -5.91 eV/atom
* spin magnetization: 3.36 μB per formula unit
* ΔE to the lowest computed polymorph: 115 meV per atom
* energy of formation: 1.03 eV per formula unit

=====

[10]
## CoAgRh2 (PBE)

Data for a relaxed CoAgRh2 crystal.

Cell lengths 3.8671, 3.8671, 7.7438 Å; angles 90.00, 90.00, 90.00 degrees
Element x y z (fractional)
Co 0.0000 0.0000 0.0000
Co 0.5000 0.5000 0.5000
Ag 0.0000 0.0000 0.5000
Ag 0.5000 0.5000 0.0000
Rh 0.0000 0.5000 0.2500
Rh 0.0000 0.5000 0.7500
Rh 0.5000 0.0000 0.2500
Rh 0.5000 0.0000 0.7500

Output
* DFT total energy: -5.85 eV/atom
* spin magnetization: 3.62 μB per formula unit
* ΔE to the lowest computed polymorph: 173 meV per atom
* energy of formation: 1.26 eV per formula unit

=====

[11]
## CoAg2Rh (PBE)

Data for a relaxed CoAg2Rh crystal.

Cell lengths 3.8187, 3.8187, 8.4316 Å; angles 90.00, 90.00, 90.00 degrees
Element x y z (fractional)
Co 0.0000 0.0000 0.0000
Co 0.5000 0.5000 0.5000
Ag 0.0000 0.5000 0.2500
Ag 0.0000 0.5000 0.7500
Ag 0.5000 0.0000 0.2500
Ag 0.5000 0.0000 0.7500
Rh 0.0000 0.0000 0.5000
Rh 0.5000 0.5000 0.0000

Output
* DFT total energy: -4.66 eV/atom
* spin magnetization: 2.78 μB per formula unit
* ΔE to the lowest computed polymorph: 204 meV per atom
* energy of formation: 1.54 eV per formula unit

=====

[12]
## CoAg2Rh (PBE)

Data for a relaxed CoAg2Rh crystal.

Cell lengths 2.8145, 2.8145, 7.7584 Å; angles 90.00, 90.00, 90.00 degrees
Element x y z (fractional)
Co 0.0000 0.0000 0.0000
Ag 0.0000 0.0000 0.4685
Ag 0.5000 0.5000 0.7499
Rh 0.5000 0.5000 0.1959

Output
* DFT total energy: -4.86 eV/atom
* spin magnetization: 2.65 μB per formula unit
* ΔE to the lowest computed polymorph: 0 meV per atom
* energy of formation: 0.72 eV per formula unit